K3Cr11S18 | GGA-PBEsol | relaxed

Results
- ρ (g cm⁻³) = 3.631
- formation energy without anion corrections (eV/atom) = -0.812

CIF file:
```
data_K3Cr11S18
_cell_length_a 21.018
_cell_length_b 3.459
_cell_length_c 16.195
_cell_angle_alpha 90.00
_cell_angle_beta 100.32
_cell_angle_gamma 90.00
_space_group_name_H-M_alt 'C 1 2/m 1'
_space_group_IT_number 12
loop_
_space_group_symop_operation_xyz
'x,y,z'
'-x,-y,-z'
'-x,y,-z'
'x,-y,z'
'x+1/2,y+1/2,z'
'-x+1/2,-y+1/2,-z'
'-x+1/2,y+1/2,-z'
'x+1/2,-y+1/2,z'
loop_
_atom_site_label
_atom_site_type_symbol
_atom_site_fract_x
_atom_site_fract_y
_atom_site_fract_z
K1 K 0.000 0.000 0.000
K2 K 0.196 0.500 0.593
Cr1 Cr 0.000 0.500 0.500
Cr2 Cr 0.030 0.000 0.754
Cr3 Cr 0.092 0.000 0.371
Cr4 Cr 0.153 0.500 0.223
Cr5 Cr 0.166 0.500 0.820
Cr6 Cr 0.205 0.000 0.070
S1 S 0.005 0.500 0.353
S2 S 0.062 0.500 0.850
S3 S 0.078 0.000 0.221
S4 S 0.078 0.000 0.511
S5 S 0.133 0.500 0.074
S6 S 0.134 0.000 0.726
S7 S 0.168 0.500 0.376
S8 S 0.207 0.000 0.924
S9 S 0.228 0.000 0.217
```